Computed, not measured: LaTm6Tl3 after structural relaxation at the PBE level of DFT.

ΔH_f (0 K): -0.123 eV per atom
Raw total energy: -4.0087 eV/atom

abc: 11.3012 12.7681 8.4896
angles: 90.00 90.00 90.00
Space group Cmc2_1 (No. 36)
Inequivalent atoms, fractional coordinates:
La 0.0000 0.1879 0.0000 [4 per cell]
Tm 0.0000 0.2694 0.5715 [4 per cell]
Tm 0.0000 0.4728 0.1978 [4 per cell]
Tm 0.1694 0.0647 0.6607 [8 per cell]
Tm 0.2432 0.3190 0.8049 [8 per cell]
Tl 0.0000 0.0761 0.3576 [4 per cell]
Tl 0.1915 0.4147 0.4585 [8 per cell]